{
  "formula": "Na2Al2Hg",
  "functional": "SCAN",
  "state": "single point on PBEsol structure",
  "crystal_system": "tetragonal",
  "spacegroup": "P4/mbm (127)",
  "formation_enthalpy_0k_ev_per_fu": 1.1,
  "lattice_angstrom": [[-1.239, 0.071, 2.597], [-8.319, -1.044, -3.940], [0.844, -9.202, 0.655]],
  "species": ["Na", "Na", "Na", "Na", "Hg", "Hg", "Al", "Al", "Al", "Al"],
  "frac_coords": [[0.000, 0.306, 0.806], [0.000, 0.806, 0.694], [0.000, 0.694, 0.194], [0.000, 0.194, 0.306], [0.000, 0.000, 0.000], [0.000, 0.500, 0.500], [0.500, 0.099, 0.599], [0.500, 0.599, 0.901], [0.500, 0.901, 0.401], [0.500, 0.401, 0.099]]
}

=====

{
  "formula": "Nb3AlHg",
  "functional": "SCAN",
  "state": "single point on PBEsol structure",
  "crystal_system": "cubic",
  "spacegroup": "Pm-3m (221)",
  "formation_enthalpy_0k_ev_per_fu": 8.7,
  "lattice_angstrom": [[4.969, 0.000, 0.000], [0.000, 4.969, 0.000], [0.000, 0.000, 4.969]],
  "species": ["Nb", "Nb", "Nb", "Hg", "Al"],
  "frac_coords": [[0.000, 0.500, 0.000], [0.000, 0.000, 0.500], [0.500, 0.000, 0.000], [0.000, 0.000, 0.000], [0.500, 0.500, 0.500]]
}